8
Lattice="-4.728 2.005 -1.057 -1.430 -0.741 4.990 3.523 9.592 2.434" Properties=species:S:1:pos:R:3 comment="PBE-GGA AcNd6Sm, relaxed" total_magnetization_mub_per_fu=0.0 dos_at_fermi_per_ev_cell=13.33 sg=P4/mmm crystal_system=tetragonal delta_e_f_mev_per_atom=21.5 pbc="T T T"
Sm 1.762 4.796 1.217
Nd -3.079 0.632 1.966
Nd 0.188 2.089 3.119
Nd -1.318 5.428 3.184
Nd 0.255 8.135 1.281
Nd 1.905 6.762 4.305
Ac 0.000 0.000 0.000
Nd -1.461 3.462 0.096

11
Lattice="0.981 4.937 -2.375 5.713 -3.749 -5.433 -9.232 -2.952 -3.428" Properties=species:S:1:pos:R:3 comment="PBE-GGA Ac8Nd2Sm, relaxed" polymorph_energy_ev_per_atom=0.0000 total_magnetization_mub_per_fu=0.0 dos_at_fermi_per_ev_cell=20.38 sg=C2/m crystal_system=monoclinic delta_e_f_mev_per_atom=32.4 pbc="T T T"
Ac 3.349 -2.781 -4.396
Ac 2.537 -1.134 -7.830
Ac 1.447 0.682 -4.506
Ac -1.202 -0.927 -8.945
Ac -5.887 1.017 -6.841
Nd -0.340 -2.595 -5.533
Ac -5.074 -0.630 -3.406
Sm 0.491 2.469 -1.188
Nd -2.198 0.831 -5.703
Ac -3.984 -2.446 -6.731
Ac -1.335 -0.837 -2.292

5
Lattice="4.977 0.000 0.000 0.000 4.977 0.000 -2.489 -2.489 8.364" Properties=species:S:1:pos:R:3 comment="PBE-GGA Ac2Nd2Sm, relaxed" polymorph_energy_ev_per_atom=0.3451 total_magnetization_mub_per_fu=0.0 dos_at_fermi_per_ev_cell=9.46 sg=I4/mmm crystal_system=tetragonal delta_e_f_mev_per_atom=424.7 pbc="T T T"
Sm 0.000 0.000 0.000
Nd 2.489 2.489 1.528
Ac 2.489 0.000 4.182
Nd 0.000 0.000 6.836
Ac 0.000 2.489 4.182

11
Lattice="3.726 0.000 0.229 1.856 3.231 0.229 -0.179 -0.104 33.396" Properties=species:S:1:pos:R:3 comment="PBE-GGA Ac2Nd6Sm3, relaxed" polymorph_energy_ev_per_atom=0.0000 total_magnetization_mub_per_fu=0.0 dos_at_fermi_per_ev_cell=15.86 sg=R-3m crystal_system=trigonal delta_e_f_mev_per_atom=30.7 pbc="T T T"
Sm 0.000 0.000 0.000
Nd 0.932 0.539 15.291
Ac 2.417 1.399 21.556
Sm 1.498 0.867 6.056
Nd 3.540 2.049 3.252
Sm 3.904 2.260 27.797
Nd 5.039 2.917 9.302
Nd 0.364 0.211 24.551
Ac 2.985 1.728 12.298
Nd 4.471 2.588 18.562
Nd 1.862 1.078 30.601